Record 1
A plane-wave DFT calculation with PBE-GGA was carried out for a geometry-optimized Y2Hf2Mg structure.

**SG**: No. 127
**Energy above the most stable polymorph in this dataset**: 0 meV/atom

Cell: 8.5662 8.5662 3.6904 Å, 90.00 90.00 90.00°
Closest atoms and distances in Å follow each position.
Element x y z (fractional)
Y 0.1740 0.3260 0.0000  6 Hf 3.10-3.16
Y 0.3260 0.8260 0.0000  6 Hf 3.10-3.16
Y 0.6740 0.1740 0.0000  6 Hf 3.10-3.16
Y 0.8260 0.6740 0.0000  6 Hf 3.10-3.16
Hf 0.1201 0.6201 0.5000  1 Hf 2.91, 6 Y 3.10-3.16
Hf 0.3799 0.1201 0.5000  1 Hf 2.91, 6 Y 3.10-3.16
Hf 0.6201 0.8799 0.5000  1 Hf 2.91, 6 Y 3.10-3.16
Hf 0.8799 0.3799 0.5000  1 Hf 2.91, 6 Y 3.10-3.16
Mg 0.0000 0.0000 0.5000  4 Hf 3.41, 8 Y 3.66, 2 Mg 3.69
Mg 0.5000 0.5000 0.5000  4 Hf 3.41, 8 Y 3.66, 2 Mg 3.69

---

Record 2
A plane-wave DFT calculation with PBE-GGA was carried out for a geometry-optimized Ac3MgGa4 structure.

**SG**: No. 71

Cell: 9.2997 9.2997 9.2997 Å, 152.13 138.21 50.98°
Closest atoms and distances in Å follow each position.
Element x y z (fractional)
Ac 0.0000 0.0000 0.0000  8 Ga 3.30
Ac 0.3025 0.8025 0.5000  6 Ga 3.27-3.29
Ac 0.6975 0.1975 0.5000  6 Ga 3.27-3.29
Mg 0.5000 0.5000 0.0000  4 Ga 2.89
Ga 0.0720 0.3778 0.6943  1 Ga 2.58, 1 Mg 2.89
Ga 0.3165 0.6222 0.6943  1 Ga 2.58, 1 Mg 2.89
Ga 0.6835 0.3778 0.3057  1 Ga 2.58, 1 Mg 2.89
Ga 0.9280 0.6222 0.3057  1 Ga 2.58, 1 Mg 2.89

---

Record 3
A plane-wave DFT calculation with PBE-GGA was carried out for a geometry-optimized CdBi3Rh3 structure.

**SG**: No. 148

Cell: 7.2790 7.2790 7.2790 Å, 68.16 68.16 68.16°
Closest atoms and distances in Å follow each position.
Element x y z (fractional)
Cd 0.1648 0.1648 0.1648  6 Rh 2.76-2.82
Cd 0.8352 0.8352 0.8352  6 Rh 2.76-2.82
Bi 0.1087 0.3866 0.6969  5 Rh 2.78-2.87
Bi 0.3031 0.8913 0.6134  5 Rh 2.78-2.87
Bi 0.3866 0.6969 0.1087  5 Rh 2.78-2.87
Bi 0.6134 0.3031 0.8913  5 Rh 2.78-2.87
Bi 0.6969 0.1087 0.3866  5 Rh 2.78-2.87
Bi 0.8913 0.6134 0.3031  5 Rh 2.78-2.87
Rh 0.0715 0.8001 0.4457  2 Cd 2.76-2.82, 5 Bi 2.78-2.87, 1 Rh 3.00
Rh 0.1999 0.5543 0.9285  2 Cd 2.76-2.82, 5 Bi 2.78-2.87, 1 Rh 3.00
Rh 0.4457 0.0715 0.8001  2 Cd 2.76-2.82, 5 Bi 2.78-2.87, 1 Rh 3.00
Rh 0.5543 0.9285 0.1999  2 Cd 2.76-2.82, 5 Bi 2.78-2.87, 1 Rh 3.00
Rh 0.8001 0.4457 0.0715  2 Cd 2.76-2.82, 5 Bi 2.78-2.87, 1 Rh 3.00
Rh 0.9285 0.1999 0.5543  2 Cd 2.76-2.82, 5 Bi 2.78-2.87, 1 Rh 3.00

---

Record 4
A plane-wave DFT calculation with PBE-GGA was carried out for a geometry-optimized CeHgPd structure.

**SG**: No. 216
**Energy above the most stable polymorph in this dataset**: 125 meV/atom

Cell: 4.7922 4.7922 4.7922 Å, 60.00 60.00 60.00°
Closest atoms and distances in Å follow each position.
Element x y z (fractional)
Ce 0.0000 0.0000 0.0000  4 Pd 2.93
Hg 0.5000 0.5000 0.5000  4 Pd 2.93
Pd 0.7500 0.7500 0.7500  4 Hg 2.93, 4 Ce 2.93

---

Record 5
A plane-wave DFT calculation with PBE-GGA was carried out for a geometry-optimized DyErTh3 structure.

**SG**: No. 148
**Energy above the most stable polymorph in this dataset**: 186 meV/atom

Cell: 7.3205 7.3205 7.3205 Å, 71.25 71.25 71.25°
Closest atoms and distances in Å follow each position.
Element x y z (fractional)
Dy 0.0908 0.0908 0.0908  1 Dy 2.95, 3 Th 3.24
Dy 0.9092 0.9092 0.9092  1 Dy 2.95, 3 Th 3.24
Er 0.4062 0.4062 0.4062  1 Er 3.05, 6 Th 3.19-3.39
Er 0.5938 0.5938 0.5938  1 Er 3.05, 6 Th 3.19-3.39
Th 0.0134 0.7392 0.5197  2 Er 3.19-3.39, 2 Dy 3.24-3.38
Th 0.2608 0.4803 0.9866  2 Er 3.19-3.39, 2 Dy 3.24-3.38
Th 0.4803 0.9866 0.2608  2 Er 3.19-3.39, 2 Dy 3.24-3.38
Th 0.5197 0.0134 0.7392  2 Er 3.19-3.39, 2 Dy 3.24-3.38
Th 0.7392 0.5197 0.0134  2 Er 3.19-3.39, 2 Dy 3.24-3.38
Th 0.9866 0.2608 0.4803  2 Er 3.19-3.39, 2 Dy 3.24-3.38

---

Record 6
A plane-wave DFT calculation with PBE-GGA was carried out for a geometry-optimized Zn3Ga2Cu9 structure.

**SG**: No. 12

Cell: 6.8305 6.8305 4.1915 Å, 99.98 99.98 88.87°
Closest atoms and distances in Å follow each position.
Element x y z (fractional)
Zn 0.0000 0.0000 0.0000  2 Zn 2.48, 4 Cu 2.72
Zn 0.2622 0.2622 0.1319  1 Zn 2.48, 7 Cu 2.51-2.68
Zn 0.7378 0.7378 0.8681  1 Zn 2.48, 7 Cu 2.51-2.68
Ga 0.3510 0.6490 0.5000  8 Cu 2.53-2.61, 2 Zn 2.84
Ga 0.6490 0.3510 0.5000  8 Cu 2.53-2.61, 2 Zn 2.84
Cu 0.0166 0.2690 0.5654  4 Cu 2.41-2.56, 1 Ga 2.54, 2 Zn 2.67
Cu 0.1319 0.6012 0.9324  6 Cu 2.46-2.58, 2 Ga 2.55-2.61, 1 Zn 2.68
Cu 0.2690 0.0166 0.5654  4 Cu 2.41-2.56, 1 Ga 2.54, 2 Zn 2.67
Cu 0.3988 0.8681 0.0676  6 Cu 2.46-2.58, 2 Ga 2.55-2.61, 1 Zn 2.68
Cu 0.5000 0.5000 0.0000  2 Zn 2.51, 4 Ga 2.53, 4 Cu 2.58
Cu 0.6012 0.1319 0.9324  6 Cu 2.46-2.58, 2 Ga 2.55-2.61, 1 Zn 2.68
Cu 0.7310 0.9834 0.4346  4 Cu 2.41-2.56, 1 Ga 2.54, 2 Zn 2.67
Cu 0.8681 0.3988 0.0676  6 Cu 2.46-2.58, 2 Ga 2.55-2.61, 1 Zn 2.68
Cu 0.9834 0.7310 0.4346  4 Cu 2.41-2.56, 1 Ga 2.54, 2 Zn 2.67

---

| no. | ΔE_f (eV/atom) |
| --- | --- |
| 1 | 0.3043 |
| 2 | -0.3102 |
| 3 | -0.0837 |
| 4 | -0.4795 |
| 5 | 0.5708 |
| 6 | 0.0038 |